Material: MgTe2
Method: DFT, meta-GGA SCAN
State: PBEsol geometry

a b c (Å): 4.2885 4.2885 6.0484
angles (deg): 90.00 90.00 120.00
Atoms (fractional coordinates):
Mg 0.0000 0.0000 0.0000
Te 0.3333 0.6667 0.2587
Te 0.3333 0.6667 0.7413

Calculated values
ΔE_f (raw) ... -143 kJ/mol of formula units